1.
This record from Alexandria describes a relaxed structure of SrBe2H. The functional is PBE.

Cell lengths 5.4631, 5.4631, 5.4631 Å; angles 120.25, 120.25, 89.57 degrees
Closest atoms and distances in Å follow each position.
Positions (direct):
Sr 0.3750 0.6250 0.7500  12 Be 3.19-3.21, 4 H 3.34, 4 Sr 3.34
Sr 0.6250 0.3750 0.2500  12 Be 3.19-3.21, 4 H 3.34, 4 Sr 3.34
Be 0.0000 0.0000 0.0000  2 H 1.67
Be 0.0000 0.0000 0.5000  2 H 1.67
Be 0.0000 0.5000 0.0000  2 H 1.67
Be 0.5000 0.0000 0.5000  2 H 1.67
H 0.1250 0.8750 0.2500  4 Be 1.67
H 0.8750 0.1250 0.7500  4 Be 1.67

- Fermi-level density of states: 0.236 states/eV/atom

2.
This record from Alexandria describes a relaxed structure of SrBe2H. The functional is PBE.

Cell lengths 4.6919, 4.6919, 4.6919 Å; angles 60.00, 60.00, 60.00 degrees
Closest atoms and distances in Å follow each position.
Positions (direct):
Sr 0.0000 0.0000 0.0000  8 Be 2.87
Be 0.2500 0.2500 0.2500  4 H 2.87, 4 Sr 2.87
Be 0.7500 0.7500 0.7500  4 H 2.87, 4 Sr 2.87
H 0.5000 0.5000 0.5000  8 Be 2.87

- Fermi-level density of states: 0.841 states/eV/atom

The most stable arrangement is 1, and the next structure is 796 meV per atom less stable.